# 1
YZn2As | Alexandria | meta-GGA SCAN | single point on PBEsol structure; formation energy from the elements = -5.79 kcal/mol of atoms
1.0
3.5609 0.0000 0.0000
0.0000 3.5609 0.0000
0.0000 0.0000 5.9345
Y Zn As
1 2 1
Direct
0.0000 0.0000 0.0000
0.5000 0.5000 0.2882
0.5000 0.5000 0.7118
0.0000 0.0000 0.5000

***

# 2
YZn2As | Alexandria | meta-GGA SCAN | single point on PBEsol structure; formation energy from the elements = -14.09 kcal/mol of atoms
1.0
3.8890 0.0000 0.0000
0.0000 3.8890 0.0000
0.0000 0.0000 5.0139
Y Zn As
1 2 1
Direct
0.0000 0.0000 0.0000
0.0000 0.5000 0.4703
0.5000 0.0000 0.4703
0.5000 0.5000 0.8607

***

# 3
YZnAs2 | Alexandria | meta-GGA SCAN | single point on PBEsol structure; formation energy from the elements = -16.64 kcal/mol of atoms
1.0
5.1676 -1.9725 0.0000
5.1676 1.9725 0.0000
-0.9614 0.0000 3.9688
Y Zn As
1 1 2
Direct
0.0000 0.0000 0.0000
0.2445 0.2445 0.6592
0.4554 0.4554 0.4753
0.7101 0.7101 0.0192

***

# 4
Y2ZrAs | Alexandria | meta-GGA SCAN | single point on PBEsol structure; formation energy from the elements = -7.20 kcal/mol of atoms
1.0
3.1801 -4.3397 0.0000
3.1801 4.3397 0.0000
0.0000 0.0000 3.3130
Y Zr As
2 1 1
Direct
0.0000 0.5000 0.0000
0.5000 0.0000 0.0000
0.0000 0.0000 0.5000
0.5000 0.5000 0.5000

***

# 5
Y2ZrAs | Alexandria | meta-GGA SCAN | single point on PBEsol structure; formation energy from the elements = -2.16 kcal/mol of atoms
1.0
0.0000 3.5404 3.5404
3.5404 0.0000 3.5404
3.5404 3.5404 0.0000
Y Zr As
2 1 1
Direct
0.0000 0.0000 0.0000
0.2500 0.2500 0.2500
0.7500 0.7500 0.7500
0.5000 0.5000 0.5000

***

# 6
YZr3As | Alexandria | meta-GGA SCAN | single point on PBEsol structure; formation energy from the elements = -5.03 kcal/mol of atoms
1.0
5.0468 0.0000 0.0000
0.0000 5.0468 0.0000
0.0000 0.0000 5.0468
Y Zr As
1 3 1
Direct
0.0000 0.0000 0.0000
0.0000 0.5000 0.5000
0.5000 0.0000 0.5000
0.5000 0.5000 0.0000
0.5000 0.5000 0.5000

***

# 7
YZrAs | Alexandria | meta-GGA SCAN | single point on PBEsol structure; formation energy from the elements = -17.78 kcal/mol of atoms
1.0
-1.7895 1.7895 5.1200
1.7895 -1.7895 5.1200
1.7895 1.7895 -5.1200
Y Zr As
1 1 1
Direct
0.0000 0.0000 0.0000
0.2996 0.2996 0.0000
0.6821 0.6821 0.0000

***

# 8
Y2ZrAs | Alexandria | meta-GGA SCAN | single point on PBEsol structure; formation energy from the elements = -14.28 kcal/mol of atoms
1.0
4.2981 0.0000 0.0000
0.0000 1.9886 5.6735
0.0000 -1.9886 5.6735
Y Zr As
2 1 1
Direct
0.0000 0.0000 0.0000
0.5000 0.3006 0.3006
0.0000 0.7173 0.7173
0.5000 0.5732 0.5732

***

# 9
ZnAs | Alexandria | meta-GGA SCAN | single point on PBEsol structure; formation energy from the elements = -0.58 kcal/mol of atoms
1.0
2.1264 -3.6787 0.0000
2.1264 3.6787 0.0000
0.0000 0.0000 5.0640
Zn As
2 2
Direct
0.0964 0.9036 0.7500
0.9036 0.0964 0.2500
0.2368 0.7632 0.2500
0.7632 0.2368 0.7500

***

# 10
Zn3As | Alexandria | meta-GGA SCAN | single point on PBEsol structure; formation energy from the elements = 3.76 kcal/mol of atoms
1.0
-1.9398 1.9398 4.1865
1.9398 -1.9398 4.1865
1.9398 1.9398 -4.1865
Zn As
3 1
Direct
0.0000 0.0000 0.0000
0.2500 0.7500 0.5000
0.7500 0.2500 0.5000
0.5000 0.5000 0.0000

***

# 11
ZnAs | Alexandria | meta-GGA SCAN | single point on PBEsol structure; formation energy from the elements = 2.44 kcal/mol of atoms
1.0
3.8719 0.0000 0.0000
-1.9360 3.3532 0.0000
0.0000 0.0000 2.8637
Zn As
1 1
Direct
0.0000 0.0000 0.0000
0.6667 0.3333 0.5000

***

# 12
ZnAs3 | Alexandria | meta-GGA SCAN | single point on PBEsol structure; energy relative to the lowest polymorph listed for this composition = 0.0 meV per atom; formation energy from the elements = 7.91 kcal/mol of atoms
1.0
-1.9002 1.9002 10.3394
1.9002 -1.9002 10.3394
1.9002 1.9002 -10.3394
Zn As
2 6
Direct
0.1457 0.1457 0.0000
0.8543 0.8543 0.0000
0.0000 0.5000 0.5000
0.2500 0.7500 0.5000
0.3983 0.3983 0.0000
0.5000 0.0000 0.5000
0.6017 0.6017 0.0000
0.7500 0.2500 0.5000

***

Number 1: calculated volume 18.81 A^3/atom. Number 2: calculated volume 18.96 A^3/atom. Number 3: calculated volume 20.23 A^3/atom. Number 4: calculated volume 22.86 A^3/atom. Number 5: calculated volume 22.19 A^3/atom. Number 6: calculated volume 25.71 A^3/atom. Number 7: calculated volume 21.86 A^3/atom. Number 8: calculated volume 24.25 A^3/atom. Number 9: calculated volume 19.81 A^3/atom. Number 10: calculated volume 15.75 A^3/atom. Number 11: calculated volume 18.59 A^3/atom. Number 12: calculated volume 18.67 A^3/atom.